Computed, not measured: a geometry-optimized TlCu2Br6 structure at the PBE level of DFT.

Calculated values
**E_form (uncorrected)**: -369 meV/atom
**Spin magnetization**: 2.15 μB/cell
**Volume**: 35.58 Å³ per atom
**Polymorph energy (0 for the lowest one)**: 0.000 eV per atom

Structure (CIF):
```
data_TlCu2Br6
_cell_length_a 6.7308
_cell_length_b 10.2234
_cell_length_c 10.2234
_cell_angle_alpha 89.83
_cell_angle_beta 72.97
_cell_angle_gamma 72.97
_space_group_name_H-M_alt 'P 1'
_space_group_IT_number 1
_space_group_name_Hall 'P 1'
loop_
_atom_site_label
_atom_site_type_symbol
_atom_site_fract_x
_atom_site_fract_y
_atom_site_fract_z
Tl1 Tl 0.2500 0.2006 0.7994
Tl2 Tl 0.7500 0.7994 0.2006
Cu1 Cu 0.1575 0.6334 0.7759
Cu2 Cu 0.3425 0.2241 0.3666
Cu3 Cu 0.8425 0.3666 0.2241
Cu4 Cu 0.6575 0.7759 0.6334
Br1 Br 0.3442 0.7410 0.5943
Br2 Br 0.1558 0.4057 0.2590
Br3 Br 0.6558 0.2590 0.4057
Br4 Br 0.8442 0.5943 0.7410
Br5 Br 0.8916 0.8216 0.4161
Br6 Br 0.6084 0.5839 0.1784
Br7 Br 0.1084 0.1784 0.5839
Br8 Br 0.3916 0.4161 0.8216
Br9 Br 0.0921 0.7892 0.9804
Br10 Br 0.4079 0.0196 0.2108
Br11 Br 0.9079 0.2108 0.0196
Br12 Br 0.5921 0.9804 0.7892
```